# La12YTm7

An optimized crystal structure of La12YTm7 (GGA-PBE, Alexandria).

extended XYZ file:
```
20
Lattice="6.2169 3.5893 5.1515 -6.2169 3.5893 5.1515 0.0000 -7.1787 5.1515" Properties=species:S:1:pos:R:3 pbc="T T T"
La -2.0912 -5.0585 6.5241
La -5.4264 -0.7182 8.9303
La -3.4107 0.9972 6.8875
La -2.5690 -2.4552 8.5670
La 0.8418 -3.4524 6.8875
La -3.3352 4.3403 6.5241
La 3.3352 -4.3403 8.9303
La -0.8417 3.4524 8.5670
La 2.5690 2.4552 6.8874
La 3.4107 -0.9972 8.5670
La 5.4264 0.7182 6.5241
La 2.0912 5.0585 8.9303
Y 0.0000 0.0000 7.7272
Tm 0.0000 0.0000 0.0000
Tm -1.4544 -1.4270 4.7597
Tm -0.5086 1.9731 4.7597
Tm 1.9630 -0.5461 4.7597
Tm -1.9630 0.5461 10.6947
Tm 0.5086 -1.9731 10.6947
Tm 1.4544 1.4270 10.6947
```

Output
symmetry = R-3, No. 148
total moment = 0.00 Bohr magnetons per cell
relative energy among the computed polymorphs = 0 meV per atom
energy of formation from the pure elements = 0.197 eV/atom